# 1
{
  "formula": "TaCdPt",
  "functional": "PBE",
  "state": "relaxed",
  "final_energy_ev_per_cell": -38.76,
  "ef_ev_per_atom": -0.190,
  "lattice_angstrom": [[-2.950, 2.657, 2.324], [-2.126, -1.648, 3.732], [7.582, 1.710, 0.787]],
  "species": ["Pt", "Pt", "Ta", "Ta", "Cd", "Cd"],
  "frac_coords": [[0.943, 0.943, 0.217], [0.057, 0.057, 0.783], [0.245, 0.245, 0.154], [0.755, 0.755, 0.846], [0.313, 0.313, 0.632], [0.687, 0.687, 0.368]]
}

***

# 2
{
  "formula": "Zr3RePd",
  "functional": "PBE",
  "state": "relaxed",
  "polymorph_energy_mev_per_atom": 432.7,
  "final_energy_ev_per_cell": -38.14,
  "ef_ev_per_atom": 1.029,
  "lattice_angstrom": [[4.939, 0.000, 0.000], [0.000, 4.939, 0.000], [0.000, 0.000, 4.939]],
  "species": ["Zr", "Zr", "Zr", "Re", "Pd"],
  "frac_coords": [[0.500, 0.000, 0.000], [0.000, 0.000, 0.500], [0.000, 0.500, 0.000], [0.500, 0.500, 0.500], [0.000, 0.000, 0.000]]
}

***

# 3
{
  "formula": "Sc2Ga3Ir2",
  "functional": "PBE",
  "state": "relaxed",
  "final_energy_ev_per_cell": -44.86,
  "ef_ev_per_atom": -0.771,
  "lattice_angstrom": [[4.144, 0.000, 0.000], [-2.072, 4.412, -1.687], [0.000, 0.017, 6.631]],
  "species": ["Ga", "Ga", "Ga", "Ir", "Ir", "Sc", "Sc"],
  "frac_coords": [[0.374, 0.748, 0.549], [0.626, 0.252, 0.451], [0.500, 0.000, 0.000], [0.140, 0.280, 0.200], [0.860, 0.720, 0.800], [0.845, 0.690, 0.218], [0.155, 0.310, 0.782]]
}

***

# 4
{
  "formula": "SbW2Au",
  "functional": "PBE",
  "state": "relaxed",
  "final_energy_ev_per_cell": -31.56,
  "lattice_angstrom": [[3.228, 0.000, 0.000], [0.000, 3.228, 0.000], [0.000, 0.000, 7.379]],
  "species": ["W", "W", "Au", "Sb"],
  "frac_coords": [[0.000, 0.000, 0.036], [0.500, 0.500, 0.222], [0.000, 0.000, 0.467], [0.500, 0.500, 0.775]]
}